Entry 1:
Rb2Er2PtO6 | GGA-PBE | optimized geometry

N(E_F): 0.0 states/eV/cell
formation energy without anion corrections: -2.15 eV per atom

Cell lengths 5.754, 5.754, 6.883 Å; angles 97.50, 97.50, 119.57 degrees
Positions (direct):
Rb 0.164 0.836 0.000
Rb 0.836 0.164 0.000
Er 0.335 0.665 0.500
Er 0.665 0.335 0.500
Pt 0.000 0.000 0.500
O 0.049 0.365 0.665
O 0.258 0.258 0.333
O 0.365 0.049 0.665
O 0.635 0.951 0.335
O 0.742 0.742 0.667
O 0.951 0.635 0.335

Entry 2:
CsLiIF6 | GGA-PBE | optimized geometry

formation energy without anion corrections: -2.06 eV per atom

Cell lengths 5.581, 5.662, 6.100 Å; angles 88.52, 86.15, 63.05 degrees
Positions (direct):
Cs 0.000 0.000 0.000
Li 0.685 0.721 0.571
I 0.287 0.360 0.517
F 0.053 0.753 0.452
F 0.458 0.988 0.345
F 0.460 0.544 0.692
F 0.530 0.061 0.738
F 0.959 0.381 0.362
F 0.966 0.519 0.795